An optimized crystal structure of ScHgI3, computed with PBE.

CIF file:
```
data_ScHgI3
_space_group_name_H-M_alt 'P 1'
_space_group_IT_number 1
_cell_length_a 7.3728
_cell_length_b 7.3728
_cell_length_c 12.4859
_cell_angle_alpha 115.33
_cell_angle_beta 115.33
_cell_angle_gamma 47.67
loop_
_space_group_symop_operation_xyz
'x,y,z'
loop_
_atom_site_label
_atom_site_type_symbol
_atom_site_fract_x
_atom_site_fract_y
_atom_site_fract_z
Sc1 Sc 0.1060 0.1060 0.4165
Sc2 Sc 0.8940 0.8940 0.5835
Hg1 Hg 0.3233 0.3233 0.0444
Hg2 Hg 0.6767 0.6767 0.9556
I1 I 0.0919 0.0919 0.1956
I2 I 0.1268 0.1268 0.6665
I3 I 0.3598 0.3598 0.5485
I4 I 0.6402 0.6402 0.4515
I5 I 0.8732 0.8732 0.3335
I6 I 0.9081 0.9081 0.8044
```

## Properties
ρ (g/cm³): 4.7
Space-group type: C2/m
Formation energy without anion corrections (meV per atom): -884
E above lowest polymorph (meV per atom): 88.4
E_tot (eV/atom): -3.14



An optimized crystal structure of Zn2Au2Br, computed with PBE.

CIF file:
```
data_Zn2Au2Br
_space_group_name_H-M_alt 'P 1'
_space_group_IT_number 1
_cell_length_a 8.1764
_cell_length_b 8.1764
_cell_length_c 2.8856
_cell_angle_alpha 90.00
_cell_angle_beta 90.00
_cell_angle_gamma 90.00
loop_
_space_group_symop_operation_xyz
'x,y,z'
loop_
_atom_site_label
_atom_site_type_symbol
_atom_site_fract_x
_atom_site_fract_y
_atom_site_fract_z
Zn1 Zn 0.1795 0.3205 0.0000
Zn2 Zn 0.3205 0.8205 0.0000
Zn3 Zn 0.6795 0.1795 0.0000
Zn4 Zn 0.8205 0.6795 0.0000
Au1 Au 0.1226 0.6226 0.5000
Au2 Au 0.3774 0.1226 0.5000
Au3 Au 0.6226 0.8774 0.5000
Au4 Au 0.8774 0.3774 0.5000
Br1 Br 0.0000 0.0000 0.0000
Br2 Br 0.5000 0.5000 0.0000
```

## Properties
ρ (g/cm³): 10.4
Space-group type: P4/mbm
Formation energy without anion corrections (meV per atom): -40
E above lowest polymorph (meV per atom): 22.1
E_tot (eV/atom): -2.20



An optimized crystal structure of CeHo6Tm12, computed with PBE.

CIF file:
```
data_CeHo6Tm12
_space_group_name_H-M_alt 'P 1'
_space_group_IT_number 1
_cell_length_a 8.4039
_cell_length_b 8.4039
_cell_length_c 8.4039
_cell_angle_alpha 88.32
_cell_angle_beta 88.32
_cell_angle_gamma 88.32
loop_
_space_group_symop_operation_xyz
'x,y,z'
loop_
_atom_site_label
_atom_site_type_symbol
_atom_site_fract_x
_atom_site_fract_y
_atom_site_fract_z
Ce1 Ce 0.0000 0.0000 0.0000
Ho1 Ho 0.0901 0.6877 0.2556
Ho2 Ho 0.2556 0.0901 0.6877
Ho3 Ho 0.3123 0.7444 0.9099
Ho4 Ho 0.6877 0.2556 0.0901
Ho5 Ho 0.7444 0.9099 0.3123
Ho6 Ho 0.9099 0.3123 0.7444
Tm1 Tm 0.0089 0.2104 0.3516
Tm2 Tm 0.2104 0.3516 0.0089
Tm3 Tm 0.2266 0.4561 0.5620
Tm4 Tm 0.3516 0.0089 0.2104
Tm5 Tm 0.4380 0.7734 0.5439
Tm6 Tm 0.4561 0.5620 0.2266
Tm7 Tm 0.5439 0.4380 0.7734
Tm8 Tm 0.5620 0.2266 0.4561
Tm9 Tm 0.6484 0.9911 0.7896
Tm10 Tm 0.7734 0.5439 0.4380
Tm11 Tm 0.7896 0.6484 0.9911
Tm12 Tm 0.9911 0.7896 0.6484
```

## Properties
ρ (g/cm³): 8.8
Space-group type: R-3
E above lowest polymorph (meV per atom): 0.0
E_tot (eV/atom): -4.42